The following is a PBE calculation of a relaxed structure of Mg2ZrMn, from Alexandria via LeMat-Bulk.

Calculated values
ΔE_f: 1.05 eV per formula unit
V: 20.02 A^3/atom
Space group: Cmmm
Fermi-level density of states: 0.999 states/eV/atom
Total moment: 2.58 μB/f.u.

Cell: 5.565 5.565 2.933 Å, 90.00 90.00 118.16°
Positions (direct):
Mg 0.000 0.000 0.000
Mg 0.500 0.500 0.000
Zr 0.000 0.500 0.500
Mn 0.500 0.000 0.500